A geometry-optimized YTa2W structure, computed with PBE.

a = 6.7696 Å, b = 6.7696 Å, c = 6.7696 Å
α = 90.00°, β = 90.00°, γ = 90.00°
Last column: nearest neighbours and their distance in Å.
Space group Fm-3m (No. 225)
Inequivalent atoms, fractional coordinates:
Y: 0.0000 0.0000 0.0000 [4 per cell]  8 Ta 2.93
Ta: 0.2500 0.2500 0.2500 [8 per cell]  4 W 2.93, 4 Y 2.93
W: 0.0000 0.0000 0.5000 [4 per cell]  8 Ta 2.93

* excess energy over the best structure of this formula in the dataset: 157 meV per atom
* E_tot: -166.0 eV per cell

***

A geometry-optimized YTa2W structure, computed with PBE.

a = 2.8131 Å, b = 4.7794 Å, c = 5.9248 Å
α = 90.00°, β = 90.00°, γ = 90.00°
Last column: nearest neighbours and their distance in Å.
Space group Pmm2 (No. 25)
Inequivalent atoms, fractional coordinates:
Y: 0.0000 0.0000 0.0000 [1 per cell]  2 Y 2.81, 2 Ta 2.92-3.00
Ta: 0.0000 0.0000 0.5072 [1 per cell]  6 Ta 2.81-3.10, 2 Y 2.92-3.00, 4 W 3.07
Ta: 0.5000 0.5000 0.2737 [1 per cell]  1 W 2.70, 2 Ta 2.81
W: 0.5000 0.5000 0.7300 [1 per cell]  1 Ta 2.70, 2 W 2.81

* excess energy over the best structure of this formula in the dataset: 269 meV per atom
* E_tot: -41.0 eV per cell

***

A geometry-optimized YTa2W structure, computed with PBE.

a = 3.2971 Å, b = 3.2971 Å, c = 7.5695 Å
α = 90.00°, β = 90.00°, γ = 90.00°
Last column: nearest neighbours and their distance in Å.
Space group P4/mmm (No. 123)
Inequivalent atoms, fractional coordinates:
Y: 0.0000 0.0000 0.0000 [1 per cell]  8 Ta 3.27, 4 Y 3.30
Ta: 0.5000 0.5000 0.3026 [2 per cell]  4 W 2.77, 1 Ta 2.99
W: 0.0000 0.0000 0.5000 [1 per cell]  8 Ta 2.77

* excess energy over the best structure of this formula in the dataset: 0 meV per atom
* E_tot: -42.1 eV per cell

***

A geometry-optimized YTa2W structure, computed with PBE.

a = 3.2878 Å, b = 5.0332 Å, c = 9.7773 Å
α = 90.00°, β = 90.00°, γ = 90.00°
Last column: nearest neighbours and their distance in Å.
Space group Immm (No. 71)
Inequivalent atoms, fractional coordinates:
Y: 0.0000 0.0000 0.0000 [2 per cell]  4 W 3.01, 8 Ta 3.17-3.33, 2 Y 3.29
Ta: 0.0000 0.5000 0.2228 [4 per cell]  2 W 2.73, 4 Ta 3.05
W: 0.0000 0.0000 0.5000 [2 per cell]  4 Ta 2.73, 4 Y 3.01

* excess energy over the best structure of this formula in the dataset: 110 meV per atom
* E_tot: -83.4 eV per cell